Entry 1:
Entry from Alexandria via LeMat-Bulk: an optimized crystal structure of Zr3ZnMo (PBE-GGA).

The calculation puts the polymorph energy (0 for the lowest one) at 0.000 eV/atom. Its energy of formation is 3.81 eV per formula unit.

Cell: 5.0393 5.0393 5.0393 Å, 90.00 90.00 90.00°
Space group Pm-3m (No. 221)
Inequivalent atoms, fractional coordinates:
Zr 0.0000 0.0000 0.5000 x3
Zn 0.5000 0.5000 0.5000 x1
Mo 0.0000 0.0000 0.0000 x1

---

Entry 2:
Entry from Alexandria via LeMat-Bulk: an optimized crystal structure of Th2H5 (PBE-GGA).

Cell: 5.9422 11.8850 4.5142 Å, 90.00 90.00 90.00°
Space group Ibam (No. 72)
Inequivalent atoms, fractional coordinates:
Th 0.2451 0.1234 0.0000 x8
H 0.0000 0.2492 0.2500 x8
H 0.0000 0.5000 0.2500 x4
H 0.1381 0.0686 0.5000 x8

---

Entry 3:
Entry from Alexandria via LeMat-Bulk: an optimized crystal structure of AcGd2Sc (PBE-GGA).

The calculation puts the polymorph energy (0 for the lowest one) at 0.132 eV/atom. Its energy of formation is 0.83 eV per formula unit.

Cell: 3.5562 3.5562 37.2064 Å, 90.00 90.00 120.00°
Space group R-3m (No. 166, hexagonal axes)
Inequivalent atoms, fractional coordinates:
Ac 0.0000 0.0000 0.0000 x3
Gd 0.0000 0.0000 0.0951 x6
Sc 0.0000 0.0000 0.5000 x3

---

Entry 4:
Entry from Alexandria via LeMat-Bulk: an optimized crystal structure of CsLa3Al (PBE-GGA).

The calculation puts the polymorph energy (0 for the lowest one) at 0.706 eV/atom. Its energy of formation is 5.24 eV per formula unit.

Cell: 5.8320 5.8320 5.8320 Å, 90.00 90.00 90.00°
Space group Pm-3m (No. 221)
Inequivalent atoms, fractional coordinates:
Cs 0.0000 0.0000 0.0000 x1
La 0.0000 0.0000 0.5000 x3
Al 0.5000 0.5000 0.5000 x1

---

| no. | uncorrected energy (eV for the cell shown) |
| --- | --- |
| 1 | -33.9 |
| 2 | -139.7 |
| 3 | -113.3 |
| 4 | -14.1 |